(1)
An optimized crystal structure of AgBiHAu2, computed with PBE-GGA.

- Energy: -15.462 eV/cell

a = 4.254 Å, b = 4.254 Å, c = 4.830 Å
α = 90.00°, β = 90.00°, γ = 90.00°
Fractional positions:
H  0.000  0.000  0.000
Bi  0.500  0.500  0.500
Au  0.500  0.000  0.000
Au  0.000  0.500  0.000
Ag  0.000  0.000  0.500

=====

(2)
An optimized crystal structure of Pm6NdSe8, computed with PBE-GGA.

- Energy: -89.286 eV/cell
- ΔE_f (raw): -181 kJ/mol of atoms

a = 8.370 Å, b = 8.370 Å, c = 8.370 Å
α = 60.00°, β = 60.00°, γ = 60.00°
Fractional positions:
Se  0.750  0.750  0.750
Se  0.250  0.250  0.250
Nd  0.000  0.000  0.000
Pm  0.500  0.000  0.500
Se  0.254  0.746  0.254
Pm  0.000  0.000  0.500
Se  0.746  0.254  0.746
Se  0.254  0.254  0.746
Pm  0.500  0.500  0.000
Pm  0.000  0.500  0.500
Se  0.746  0.254  0.254
Pm  0.500  0.000  0.000
Pm  0.000  0.500  0.000
Se  0.746  0.746  0.254
Se  0.254  0.746  0.746

=====

(3)
An optimized crystal structure of YCu2P, computed with PBE-GGA.

- Energy: -21.412 eV/cell
- Formation energy from the elements: -336 meV/atom

a = 5.598 Å, b = 5.598 Å, c = 3.886 Å
α = 98.89°, β = 98.89°, γ = 39.69°
Fractional positions:
Y  0.250  0.250  0.250
P  0.750  0.750  0.750
Cu  0.539  0.539  0.478
Cu  0.961  0.961  0.022

=====

(4)
An optimized crystal structure of Ta2ZnCl, computed with PBE-GGA.

- ΔE to the lowest computed polymorph: 292 meV/atom
- Energy: -25.903 eV/cell
- ΔE_f (raw): 22 kJ/mol of atoms

a = 4.624 Å, b = 2.917 Å, c = 5.234 Å
α = 73.82°, β = 90.00°, γ = 90.00°
Fractional positions:
Ta  0.000  0.831  0.963
Zn  0.000  0.570  0.482
Ta  0.500  0.182  0.261
Cl  0.500  0.917  0.793

=====

These records have calculated density values of 13.523 6.591 5.345 11.332 g cm⁻³, in the order they appear.